# GGA-PBE TbGa3Au2, relaxed
# Raw total energy = -93.309 eV/cell
# Magnetization = 0.00 μB per cell
# Energy above the most stable polymorph in this dataset = 0.000 eV/atom
data_TbGa3Au2
_space_group_name_H-M_alt 'C 1 2/m 1'
_space_group_IT_number 12
_cell_length_a 16.355
_cell_length_b 4.338
_cell_length_c 7.615
_cell_angle_alpha 90.00
_cell_angle_beta 117.53
_cell_angle_gamma 90.00
loop_
_space_group_symop_operation_xyz
'x,y,z'
'-x,-y,-z'
'-x,y,-z'
'x,-y,z'
'x+1/2,y+1/2,z'
'-x+1/2,-y+1/2,-z'
'-x+1/2,y+1/2,-z'
'x+1/2,-y+1/2,z'
loop_
_atom_site_label
_atom_site_type_symbol
_atom_site_fract_x
_atom_site_fract_y
_atom_site_fract_z
Tb1 Tb 0.127 0.000 0.156
Ga1 Ga 0.040 0.000 0.680
Ga2 Ga 0.162 0.500 0.477
Ga3 Ga 0.182 0.500 0.891
Au1 Au 0.008 0.500 0.826
Au2 Au 0.216 0.000 0.702

***

# GGA-PBE Tb3Ga7Au4, relaxed
# Raw total energy = -113.802 eV/cell
# Magnetization = 0.00 μB per cell
data_Tb3Ga7Au4
_space_group_name_H-M_alt 'C 1 2/m 1'
_space_group_IT_number 12
_cell_length_a 16.127
_cell_length_b 4.390
_cell_length_c 9.741
_cell_angle_alpha 90.00
_cell_angle_beta 127.12
_cell_angle_gamma 90.00
loop_
_space_group_symop_operation_xyz
'x,y,z'
'-x,-y,-z'
'-x,y,-z'
'x,-y,z'
'x+1/2,y+1/2,z'
'-x+1/2,-y+1/2,-z'
'-x+1/2,y+1/2,-z'
'x+1/2,-y+1/2,z'
loop_
_atom_site_label
_atom_site_type_symbol
_atom_site_fract_x
_atom_site_fract_y
_atom_site_fract_z
Tb1 Tb 0.000 0.000 0.000
Tb2 Tb 0.189 0.500 0.691
Ga1 Ga 0.000 0.000 0.500
Ga2 Ga 0.005 0.500 0.303
Ga3 Ga 0.149 0.000 0.870
Ga4 Ga 0.170 0.500 0.300
Au1 Au 0.136 0.000 0.408
Au2 Au 0.152 0.500 0.021

***

# GGA-PBE TbGa2Au, relaxed
# Raw total energy = -48.837 eV/cell
# Magnetization = 0.00 μB per cell
data_TbGa2Au
_space_group_name_H-M_alt 'R -3 m'
_space_group_IT_number 166
_space_group_name_Hall '-R 3 2"'
_cell_length_a 4.3567
_cell_length_b 4.3567
_cell_length_c 14.9807
_cell_angle_alpha 90.00
_cell_angle_beta 90.00
_cell_angle_gamma 120.00
loop_
_atom_site_label
_atom_site_type_symbol
_atom_site_fract_x
_atom_site_fract_y
_atom_site_fract_z
Tb1 Tb 0.0000 0.0000 0.0000
Ga1 Ga 0.0000 0.0000 0.2228
Au1 Au 0.0000 0.0000 0.5000